(1)
Ce4Er3Sn4 | PBE-GGA | relaxed

Output
Energy relative to the elements: -0.366 eV/atom

abc: 9.682 9.682 9.682
angles: 156.84 114.37 70.61
Fractional coordinates of all 11 atoms:
Ce: 0.038 0.808 0.230
Ce: 0.423 0.192 0.230
Ce: 0.577 0.808 0.770
Ce: 0.962 0.192 0.770
Er: 0.000 0.500 0.500
Er: 0.386 0.386 0.000
Er: 0.614 0.614 0.000
Sn: 0.220 0.720 0.500
Sn: 0.296 0.000 0.296
Sn: 0.704 0.000 0.704
Sn: 0.780 0.280 0.500

---

(2)
Cs3TiAl | PBE-GGA | relaxed

Output
Energy relative to the elements: 1.196 eV/atom

abc: 6.804 6.804 6.804
angles: 90.00 90.00 90.00
Fractional coordinates of all 5 atoms:
Cs: 0.000 0.000 0.500
Cs: 0.000 0.500 0.000
Cs: 0.500 0.000 0.000
Ti: 0.000 0.000 0.000
Al: 0.500 0.500 0.500

---

(3)
MoAuSe2 | PBE-GGA | relaxed

Output
Energy relative to the lowest polymorph listed for this composition: 0.85 eV/f.u.

abc: 6.669 6.669 6.669
angles: 154.11 136.52 51.30
Fractional coordinates of all 4 atoms:
Mo: 0.000 0.000 0.000
Au: 0.500 0.500 0.000
Se: 0.167 0.667 0.500
Se: 0.833 0.333 0.500

---

(4)
CaTlHgCl5 | PBE-GGA | relaxed

Output
Electronic total energy: -3.1107 eV per atom

abc: 7.664 7.664 10.046
angles: 103.25 103.25 106.99
Fractional coordinates of all 16 atoms:
Ca: 0.000 0.000 0.000
Ca: 0.000 0.000 0.500
Tl: 0.332 0.668 0.750
Tl: 0.668 0.332 0.250
Hg: 0.321 0.679 0.250
Hg: 0.679 0.321 0.750
Cl: 0.079 0.921 0.750
Cl: 0.090 0.677 0.396
Cl: 0.259 0.370 0.054
Cl: 0.323 0.910 0.104
Cl: 0.370 0.259 0.554
Cl: 0.630 0.741 0.446
Cl: 0.677 0.090 0.896
Cl: 0.741 0.630 0.946
Cl: 0.910 0.323 0.604
Cl: 0.921 0.079 0.250